VASP calculation (PBE) on crystalline Pm2NdMg at its relaxed geometry.

Cell: 11.7351 11.7351 11.7351 Å, 17.66 17.66 17.66°
Closest atoms and distances in Å follow each position.
Element x y z (fractional)
1 Pm 0.0000 0.0000 0.0000  3 Mg 3.48, 6 Pm 3.60, 3 Nd 3.62
2 Pm 0.1608 0.1608 0.1608  3 Mg 3.48, 6 Pm 3.60, 3 Nd 3.66
3 Nd 0.5810 0.5810 0.5810  6 Nd 3.60, 6 Pm 3.62-3.66
4 Mg 0.4138 0.4138 0.4138  6 Pm 3.48, 6 Mg 3.60

Calculated values
Energy above the lowest structure with this stoichiometry, meV/atom: 79
Size of the total moment, Bohr magnetons per cell: 0.00
Calculated formation energy, meV per atom: 40
Space group: R3m, No. 160